Th6TcPb | PBE | optimized geometry

Cell and atoms, written as POSCAR:
```
Th6TcPb
1.0
4.749 0.000 0.000
0.000 7.102 -1.037
0.000 0.213 7.175
Th Tc Pb
6 1 1
Cartesian
0.000 4.678 1.852 Th
2.374 6.852 3.840 Th
0.000 1.193 2.604 Th
2.374 2.343 0.057 Th
2.374 6.131 0.121 Th
0.000 4.544 5.415 Th
0.000 0.350 7.010 Tc
2.374 3.168 3.653 Pb
```

**ΔE_f**: 0.01 eV/atom
**Crystal system**: orthorhombic
**Density of states at the Fermi level**: 10.9 states/eV/cell

---

Th2TcPb | PBE | optimized geometry

Cell and atoms, written as POSCAR:
```
Th2TcPb
1.0
4.081 0.000 0.000
2.041 3.534 0.000
2.041 1.178 8.237
Th Pb Tc
2 1 1
Cartesian
6.122 3.534 6.687 Th
2.041 1.178 1.550 Th
4.081 2.356 4.119 Pb
0.000 0.000 0.000 Tc
```

**ΔE_f**: -0.09 eV/atom
**Crystal system**: trigonal
**Density of states at the Fermi level**: 3.2 states/eV/cell
**Distance to the lowest polymorph of the same formula**: 150.2 meV/atom

---

Th4TcPb2 | PBE | optimized geometry

Cell and atoms, written as POSCAR:
```
Th4TcPb2
1.0
-4.594 4.240 0.939
-4.151 -4.924 1.929
6.466 -2.062 8.651
Th Tc Pb
8 2 4
Cartesian
0.391 -1.939 7.767 Th
-1.287 1.319 6.455 Th
-0.991 -4.064 5.064 Th
-0.651 1.588 2.814 Th
-4.712 2.511 2.129 Th
2.434 -5.257 9.390 Th
-2.669 -0.806 3.752 Th
-1.627 -4.333 8.705 Th
-2.623 -3.467 3.079 Tc
0.344 0.721 8.440 Tc
-2.934 -1.642 7.069 Pb
0.655 -1.104 4.450 Pb
3.590 -1.727 9.174 Pb
-5.868 -1.018 2.345 Pb
```

**ΔE_f**: -0.16 eV/atom
**Crystal system**: monoclinic
**Density of states at the Fermi level**: 12.4 states/eV/cell

---

Th2TcPb | PBE | optimized geometry

Cell and atoms, written as POSCAR:
```
Th2TcPb
1.0
6.244 0.000 0.000
0.000 6.561 -0.790
0.000 -2.497 11.381
Th Tc Pb
8 4 4
Cartesian
2.087 6.015 0.572 Th
1.055 4.523 6.951 Th
5.189 2.491 1.655 Th
5.189 -0.459 3.641 Th
4.157 1.486 6.658 Th
4.157 -1.951 10.019 Th
1.055 1.573 8.936 Th
2.087 2.578 3.933 Th
1.053 -2.099 10.442 Tc
5.191 6.162 0.149 Tc
5.191 2.431 4.356 Tc
1.053 1.633 6.235 Tc
4.245 1.382 10.049 Pb
1.999 2.682 0.542 Pb
4.245 4.714 5.838 Pb
1.999 -0.650 4.753 Pb
```

**ΔE_f**: -0.13 eV/atom
**Crystal system**: monoclinic
**Density of states at the Fermi level**: 13.9 states/eV/cell
**Distance to the lowest polymorph of the same formula**: 105.5 meV/atom

---

Ti2TcPb | PBE | optimized geometry

Cell and atoms, written as POSCAR:
```
Ti2TcPb
1.0
7.438 0.000 0.000
0.000 7.438 0.000
3.719 3.719 2.809
Ti Tc Pb
4 2 2
Cartesian
2.273 5.578 0.702 Ti
5.164 1.859 0.702 Ti
5.578 5.992 2.107 Ti
9.297 8.883 2.107 Ti
3.719 7.438 1.404 Tc
3.719 3.719 0.000 Tc
7.438 3.719 1.404 Pb
0.000 0.000 0.000 Pb
```

**ΔE_f**: 0.29 eV/atom
**Crystal system**: tetragonal
**Density of states at the Fermi level**: 8.9 states/eV/cell

---

Ti2TcPb | PBE | optimized geometry

Cell and atoms, written as POSCAR:
```
Ti2TcPb
1.0
-2.275 -2.489 -1.046
2.954 -3.147 1.062
-1.681 -0.191 4.110
Tc Ti Pb
1 2 1
Cartesian
-1.138 -1.244 -0.523 Tc
-0.841 -0.096 2.055 Ti
1.477 -1.574 0.531 Ti
-0.501 -2.914 2.063 Pb
```

**ΔE_f**: -0.04 eV/atom
**Crystal system**: tetragonal
**Density of states at the Fermi level**: 3.8 states/eV/cell

---

TiTcPb3 | PBE | optimized geometry

Cell and atoms, written as POSCAR:
```
TiTcPb3
1.0
-1.411 1.767 -4.773
1.937 -4.394 -2.199
-4.706 -2.338 0.526
Pb Tc Ti
3 1 1
Cartesian
0.969 -2.197 -1.100 Pb
-0.706 0.883 -2.386 Pb
-2.353 -1.169 0.263 Pb
0.000 0.000 0.000 Tc
-2.090 -2.483 -3.223 Ti
```

**ΔE_f**: 0.98 eV/atom
**Crystal system**: cubic
**Density of states at the Fermi level**: 14.6 states/eV/cell
**Distance to the lowest polymorph of the same formula**: 0.0 meV/atom

---

TiTcPb2 | PBE | optimized geometry

Cell and atoms, written as POSCAR:
```
TiTcPb2
1.0
0.000 3.411 3.411
3.411 0.000 3.411
3.411 3.411 0.000
Pb Ti Tc
2 1 1
Cartesian
1.706 1.706 1.706 Pb
5.117 5.117 5.117 Pb
0.000 0.000 0.000 Ti
3.411 3.411 3.411 Tc
```

**ΔE_f**: 0.42 eV/atom
**Crystal system**: cubic
**Density of states at the Fermi level**: 4.7 states/eV/cell
**Distance to the lowest polymorph of the same formula**: 0.0 meV/atom

---

TiTcPb3 | PBE | optimized geometry

Cell and atoms, written as POSCAR:
```
TiTcPb3
1.0
5.372 0.000 0.000
0.000 5.372 0.000
0.000 0.000 5.372
Pb Ti Tc
3 1 1
Cartesian
2.686 0.000 0.000 Pb
0.000 2.686 0.000 Pb
0.000 0.000 2.686 Pb
0.000 0.000 0.000 Ti
2.686 2.686 2.686 Tc
```

**ΔE_f**: 1.11 eV/atom
**Crystal system**: cubic
**Density of states at the Fermi level**: 3.3 states/eV/cell
**Distance to the lowest polymorph of the same formula**: 130.7 meV/atom

---

Ti8TcPb2 | PBE | optimized geometry

Cell and atoms, written as POSCAR:
```
Ti8TcPb2
1.0
-4.554 1.083 0.560
-1.137 -1.687 -5.979
1.584 -6.053 4.741
Pb Ti Tc
2 8 1
Cartesian
-1.044 -3.240 -2.223 Pb
-3.062 -3.417 1.546 Pb
-1.201 -5.090 0.073 Ti
-2.905 -1.568 -0.751 Ti
-3.448 -2.374 -3.602 Ti
-0.659 -4.284 2.925 Ti
-3.260 -5.401 3.774 Ti
-0.422 -2.126 0.679 Ti
-0.846 -1.257 -4.451 Ti
-3.684 -4.532 -1.356 Ti
-2.277 0.541 0.280 Tc
```

**ΔE_f**: -0.08 eV/atom
**Crystal system**: orthorhombic
**Density of states at the Fermi level**: 12.7 states/eV/cell

---

Ti2TcPb | PBE | optimized geometry

Cell and atoms, written as POSCAR:
```
Ti2TcPb
1.0
-1.318 -0.576 2.810
2.726 -1.214 1.030
2.106 6.740 2.370
Ti Tc Pb
2 1 1
Cartesian
0.410 1.314 0.462 Ti
1.695 5.427 1.908 Ti
0.704 -0.895 1.920 Tc
1.756 2.475 3.105 Pb
```

**ΔE_f**: -0.18 eV/atom
**Crystal system**: tetragonal
**Density of states at the Fermi level**: 3.5 states/eV/cell

---

TiTcPb2 | PBE | optimized geometry

Cell and atoms, written as POSCAR:
```
TiTcPb2
1.0
7.704 0.000 0.000
0.000 7.704 0.000
3.852 3.852 3.039
Tc Pb Ti
2 4 2
Cartesian
0.000 0.000 0.000 Tc
7.704 3.852 1.519 Tc
1.850 5.778 0.760 Pb
5.854 1.926 0.760 Pb
9.629 9.706 2.279 Pb
5.778 5.701 2.279 Pb
3.852 7.704 1.519 Ti
3.852 3.852 0.000 Ti
```

**ΔE_f**: 0.72 eV/atom
**Crystal system**: tetragonal
**Density of states at the Fermi level**: 10.8 states/eV/cell
**Distance to the lowest polymorph of the same formula**: 299.9 meV/atom

---

TlTcPb | PBE | optimized geometry

Cell and atoms, written as POSCAR:
```
TlTcPb
1.0
-3.494 1.861 -6.301
-5.895 0.924 -4.441
-0.768 3.041 0.519
Pb Tc Tl
1 1 1
Cartesian
-9.152 2.792 -10.432 Pb
-3.634 2.956 -3.224 Tc
-6.760 2.863 -7.308 Tl
```

**ΔE_f**: 0.66 eV/atom
**Crystal system**: orthorhombic
**Density of states at the Fermi level**: 2.5 states/eV/cell
**Distance to the lowest polymorph of the same formula**: 15.1 meV/atom

---

TlTc2Pb | PBE | optimized geometry

Cell and atoms, written as POSCAR:
```
TlTc2Pb
1.0
-2.118 3.814 -1.419
-2.480 -0.538 2.255
2.669 2.892 3.792
Tc Pb Tl
2 1 1
Cartesian
0.503 1.398 3.007 Tc
2.260 2.672 3.808 Tc
-0.917 3.672 3.826 Pb
-1.012 2.495 0.802 Tl
```

**ΔE_f**: 0.81 eV/atom
**Crystal system**: monoclinic
**Density of states at the Fermi level**: 3.4 states/eV/cell
**Distance to the lowest polymorph of the same formula**: 492.8 meV/atom

---

TlTc2Pb | PBE | optimized geometry

Cell and atoms, written as POSCAR:
```
TlTc2Pb
1.0
7.587 0.000 0.000
0.000 7.587 0.000
3.794 3.794 3.039
Tc Pb Tl
4 2 2
Cartesian
5.691 5.676 2.279 Tc
5.705 1.897 0.760 Tc
1.882 5.691 0.760 Tc
9.484 9.499 2.279 Tc
7.587 3.794 1.519 Pb
0.000 0.000 0.000 Pb
3.794 3.794 0.000 Tl
3.794 7.587 1.519 Tl
```

**ΔE_f**: 1.18 eV/atom
**Crystal system**: tetragonal
**Density of states at the Fermi level**: 7.6 states/eV/cell
**Distance to the lowest polymorph of the same formula**: 858.1 meV/atom

---

TlTcPb2 | PBE | optimized geometry

Cell and atoms, written as POSCAR:
```
TlTcPb2
1.0
3.348 0.000 0.000
0.000 5.816 0.044
0.000 4.092 5.240
Pb Tc Tl
2 1 1
Cartesian
1.674 2.908 0.022 Pb
0.000 0.000 0.000 Pb
1.674 4.954 2.642 Tc
0.000 2.046 2.620 Tl
```

**ΔE_f**: 0.73 eV/atom
**Crystal system**: monoclinic
**Density of states at the Fermi level**: 2.8 states/eV/cell
**Distance to the lowest polymorph of the same formula**: 363.5 meV/atom

---

TlTc2Pb | PBE | optimized geometry

Cell and atoms, written as POSCAR:
```
TlTc2Pb
1.0
3.090 0.000 0.000
0.000 3.090 0.000
0.000 0.000 8.890
Tl Pb Tc
1 1 2
Cartesian
0.000 0.000 3.974 Tl
1.545 1.545 7.112 Pb
1.545 1.545 1.805 Tc
0.000 0.000 0.443 Tc
```

**ΔE_f**: 0.32 eV/atom
**Crystal system**: tetragonal
**Density of states at the Fermi level**: 2.5 states/eV/cell
**Distance to the lowest polymorph of the same formula**: 0.0 meV/atom

---

TlTcPb2 | PBE | optimized geometry

Cell and atoms, written as POSCAR:
```
TlTcPb2
1.0
-3.105 0.936 0.953
-1.165 -3.092 -0.757
0.570 -5.795 7.546
Pb Tl Tc
2 1 1
Cartesian
-1.060 -3.258 -0.254 Pb
-0.402 -4.277 2.891 Pb
-1.999 -6.197 5.568 Tl
-1.701 -1.754 2.174 Tc
```

**ΔE_f**: 0.37 eV/atom
**Crystal system**: monoclinic
**Density of states at the Fermi level**: 2.9 states/eV/cell
**Distance to the lowest polymorph of the same formula**: 0.0 meV/atom

---

TlTcPb2 | PBE | optimized geometry

Cell and atoms, written as POSCAR:
```
TlTcPb2
1.0
5.544 0.000 0.000
0.000 5.544 0.000
0.000 0.000 3.319
Pb Tl Tc
2 1 1
Cartesian
0.000 0.000 0.000 Pb
2.772 2.772 0.000 Pb
0.000 2.772 1.660 Tl
2.772 0.000 1.660 Tc
```

**ΔE_f**: 0.72 eV/atom
**Crystal system**: tetragonal
**Density of states at the Fermi level**: 3.5 states/eV/cell
**Distance to the lowest polymorph of the same formula**: 345.9 meV/atom

---

TlTc2Pb | PBE | optimized geometry

Cell and atoms, written as POSCAR:
```
TlTc2Pb
1.0
-2.304 -4.998 -0.715
3.507 1.913 -3.794
2.668 -1.497 0.560
Tc Pb Tl
2 1 1
Cartesian
0.000 0.000 0.000 Tc
0.182 -3.247 -0.077 Tc
0.602 -1.542 -2.254 Pb
3.088 0.208 -1.617 Tl
```

**ΔE_f**: 0.91 eV/atom
**Crystal system**: monoclinic
**Density of states at the Fermi level**: 4.3 states/eV/cell
**Distance to the lowest polymorph of the same formula**: 587.8 meV/atom

---

TlTc2Pb | PBE | optimized geometry

Cell and atoms, written as POSCAR:
```
TlTc2Pb
1.0
4.371 0.000 0.000
0.000 3.477 0.006
0.000 1.730 5.337
Pb Tl Tc
1 1 2
Cartesian
2.185 4.123 4.247 Pb
0.000 2.387 2.431 Tl
0.000 0.650 0.080 Tc
2.185 0.650 1.257 Tc
```

**ΔE_f**: 0.60 eV/atom
**Crystal system**: orthorhombic
**Density of states at the Fermi level**: 2.4 states/eV/cell
**Distance to the lowest polymorph of the same formula**: 284.6 meV/atom

---

TlTc2Pb | PBE | optimized geometry

Cell and atoms, written as POSCAR:
```
TlTc2Pb
1.0
8.989 0.012 0.007
8.424 3.135 0.007
8.424 1.522 2.740
Tl Tc Pb
1 2 1
Cartesian
19.378 3.502 2.066 Tl
25.814 4.665 2.752 Tc
12.942 2.339 1.380 Tc
6.459 1.167 0.689 Pb
```

**ΔE_f**: 0.84 eV/atom
**Crystal system**: trigonal
**Density of states at the Fermi level**: 3.3 states/eV/cell
**Distance to the lowest polymorph of the same formula**: 517.7 meV/atom

---

TlTc2Pb | PBE | optimized geometry

Cell and atoms, written as POSCAR:
```
TlTc2Pb
1.0
-0.451 1.127 -3.024
-2.747 -4.364 -1.217
-3.841 2.045 1.335
Pb Tl Tc
1 1 2
Cartesian
-3.294 -1.159 0.059 Pb
-2.146 1.586 -0.844 Tl
0.000 0.000 0.000 Tc
-1.599 -1.618 -2.120 Tc
```

**ΔE_f**: 0.91 eV/atom
**Crystal system**: orthorhombic
**Density of states at the Fermi level**: 3.2 states/eV/cell
**Distance to the lowest polymorph of the same formula**: 587.7 meV/atom

---

TlTcPb2 | PBE | optimized geometry

Cell and atoms, written as POSCAR:
```
TlTcPb2
1.0
-9.933 1.645 3.912
-10.703 -0.377 1.404
-9.764 -1.638 4.320
Pb Tl Tc
2 1 1
Cartesian
-0.051 -0.001 0.016 Pb
-7.104 -0.087 2.252 Pb
-23.248 -0.284 7.369 Tl
-15.196 -0.185 4.817 Tc
```

**ΔE_f**: 0.52 eV/atom
**Crystal system**: trigonal
**Density of states at the Fermi level**: 3.0 states/eV/cell
**Distance to the lowest polymorph of the same formula**: 145.1 meV/atom

---

TlTcPb2 | PBE | optimized geometry

Cell and atoms, written as POSCAR:
```
TlTcPb2
1.0
-2.731 1.690 5.263
0.907 -5.654 2.286
6.109 0.318 6.679
Tl Tc Pb
2 2 4
Cartesian
1.233 0.013 7.858 Tl
0.000 0.000 0.000 Tl
3.052 -3.659 6.370 Tc
-0.912 -1.982 3.774 Tc
2.866 -2.488 11.315 Pb
4.016 -1.990 8.140 Pb
0.292 0.207 4.555 Pb
1.394 -3.021 4.447 Pb
```

**ΔE_f**: 0.86 eV/atom
**Crystal system**: tetragonal
**Density of states at the Fermi level**: 2.8 states/eV/cell
**Distance to the lowest polymorph of the same formula**: 490.1 meV/atom

---

TlTcPb2 | PBE | optimized geometry

Cell and atoms, written as POSCAR:
```
TlTcPb2
1.0
-4.319 -2.461 1.674
-3.608 -1.606 -3.452
-0.632 -5.121 -0.942
Tc Pb Tl
1 2 1
Cartesian
-4.279 -4.594 -1.360 Tc
-2.140 -2.297 -0.680 Pb
0.000 0.000 0.000 Pb
-6.419 -6.891 -2.039 Tl
```

**ΔE_f**: 0.80 eV/atom
**Crystal system**: cubic
**Density of states at the Fermi level**: 4.9 states/eV/cell
**Distance to the lowest polymorph of the same formula**: 426.5 meV/atom

---

TlTc2Pb | PBE | optimized geometry

Cell and atoms, written as POSCAR:
```
TlTc2Pb
1.0
4.816 0.000 0.000
2.408 4.171 0.000
2.408 1.390 3.932
Tc Tl Pb
2 1 1
Cartesian
2.408 1.390 0.983 Tc
0.000 0.000 0.000 Tc
7.224 4.171 2.949 Tl
4.816 2.781 1.966 Pb
```

**ΔE_f**: 0.97 eV/atom
**Crystal system**: cubic
**Density of states at the Fermi level**: 5.2 states/eV/cell
**Distance to the lowest polymorph of the same formula**: 654.5 meV/atom

---

no.,total moment (μB per formula unit)
1,0.0
2,0.0
3,0.0
4,0.0
5,0.0
6,0.0
7,0.3
8,0.0
9,4.9
10,0.0
11,0.0
12,1.2
13,1.4
14,0.0
15,4.3
16,2.6
17,0.0
18,0.0
19,2.7
20,1.3
21,0.0
22,0.9
23,1.6
24,0.4
25,0.0
26,2.2
27,0.2